No. 1
First-principles (GGA-PBE) data for a relaxed structure of Rb2Hf2Te5, as listed in Alexandria via LeMat-Bulk.

Cell: 5.665 8.428 9.074 Å, 99.41 90.00 109.64°
Atoms (fractional coordinates):
1 Rb 0.401 0.803 0.680
2 Rb 0.599 0.197 0.320
3 Hf 0.152 0.305 0.889
4 Hf 0.848 0.695 0.111
5 Te 0.324 0.648 0.050
6 Te 0.676 0.352 0.950
7 Te 0.133 0.265 0.595
8 Te 0.867 0.735 0.405
9 Te 0.000 0.000 0.000

Summary:
formation energy without anion corrections = -7.31 eV per formula unit
magnetization = 0.000 μB per formula unit
ρ = 4.82 g/cm3
SG = C2/m
crystal system = monoclinic


No. 2
First-principles (GGA-PBE) data for a relaxed structure of ZnGa2Rh, as listed in Alexandria via LeMat-Bulk.

Cell: 3.772 3.937 3.937 Å, 90.00 90.00 90.00°
Atoms (fractional coordinates):
1 Zn 0.500 0.500 0.500
2 Rh 0.500 0.000 0.000
3 Ga 0.000 0.000 0.500
4 Ga 0.000 0.500 0.000

Summary:
magnetization = 0.000 μB per formula unit
formation energy from the elements = -0.252 eV/atom
ρ = 8.74 g/cm3
SG = P4/mmm
crystal system = tetragonal
N(E_F) = 0.479 states/eV/atom


No. 3
First-principles (GGA-PBE) data for a relaxed structure of AgPbSe2, as listed in Alexandria via LeMat-Bulk.

Cell: 4.056 4.056 7.412 Å, 74.12 74.12 60.00°
Atoms (fractional coordinates):
1 Ag 0.668 0.668 0.995
2 Pb 0.500 0.500 0.500
3 Se 0.072 0.072 0.784
4 Se 0.260 0.260 0.220

Summary:
formation energy without anion corrections = -0.74 eV per formula unit
magnetization = 0.000 μB per formula unit
ρ = 7.84 g/cm3
SG = R3m
crystal system = trigonal
N(E_F) = 0.651 states/eV/atom


- What is the ρ in the second record?
  8.74 g/cm3